Record 1
# Be2ZnAg (PBE-GGA, relaxed)
data_Be2ZnAg
_chemical_formula_sum 'Be4 Zn2 Ag2'
_cell_length_a 8.142
_cell_length_b 2.733
_cell_length_c 4.626
_cell_angle_alpha 90.00
_cell_angle_beta 102.27
_cell_angle_gamma 90.00
_space_group_name_H-M_alt 'C 1 2/m 1'
_space_group_IT_number 12
loop_
_space_group_symop_operation_xyz
'x,y,z'
'-x,-y,-z'
'-x,y,-z'
'x,-y,z'
'x+1/2,y+1/2,z'
'-x+1/2,-y+1/2,-z'
'-x+1/2,y+1/2,-z'
'x+1/2,-y+1/2,z'
loop_
_atom_site_label
_atom_site_type_symbol
_atom_site_fract_x
_atom_site_fract_y
_atom_site_fract_z
Be1 Be 0.247 0.000 0.205
Zn1 Zn 0.000 0.500 0.000
Ag1 Ag 0.000 0.000 0.500
# Formation energy from the elements = 24.1 kJ/mol of atoms
# Calculated volume = 12.573 Å³ per atom
# Density of states at the Fermi level = 0.2027 states/eV/atom
# Total DFT energy (no corrections) = -2.644 eV/atom

=====

Record 2
# ZrBeAg2 (PBE-GGA, relaxed)
data_ZrBeAg2
_chemical_formula_sum 'Zr1 Be1 Ag2'
_cell_length_a 2.865
_cell_length_b 4.310
_cell_length_c 5.660
_cell_angle_alpha 90.00
_cell_angle_beta 102.12
_cell_angle_gamma 90.00
_space_group_name_H-M_alt 'P 1 2/m 1'
_space_group_IT_number 10
loop_
_space_group_symop_operation_xyz
'x,y,z'
'-x,-y,-z'
'-x,y,-z'
'x,-y,z'
loop_
_atom_site_label
_atom_site_type_symbol
_atom_site_fract_x
_atom_site_fract_y
_atom_site_fract_z
Zr1 Zr 0.000 0.000 0.000
Be1 Be 0.500 0.000 0.500
Ag1 Ag 0.352 0.500 0.723
# Formation energy from the elements = 15.4 kJ/mol of atoms
# Calculated volume = 17.086 Å³ per atom
# Density of states at the Fermi level = 0.6335 states/eV/atom
# Total DFT energy (no corrections) = -4.334 eV/atom

=====

Record 3
# ZrBe3Ag (PBE-GGA, relaxed)
data_ZrBe3Ag
_chemical_formula_sum 'Zr1 Be3 Ag1'
_cell_length_a 4.695
_cell_length_b 4.695
_cell_length_c 4.695
_cell_angle_alpha 90.00
_cell_angle_beta 90.00
_cell_angle_gamma 90.00
_space_group_name_H-M_alt 'P m -3 m'
_space_group_IT_number 221
_space_group_name_Hall '-P 4 2 3'
loop_
_atom_site_label
_atom_site_type_symbol
_atom_site_fract_x
_atom_site_fract_y
_atom_site_fract_z
Zr1 Zr 0.000 0.000 0.000
Be1 Be 0.000 0.000 0.500
Ag1 Ag 0.500 0.500 0.500
# Formation energy from the elements = 167.7 kJ/mol of atoms
# Calculated volume = 20.697 Å³ per atom
# Density of states at the Fermi level = 1.0906 states/eV/atom
# Offset from the most stable computed form = 1231.3 meV per atom
# Total DFT energy (no corrections) = -2.777 eV/atom

=====

Record 4
# ZrBeAg2 (PBE-GGA, relaxed)
data_ZrBeAg2
_chemical_formula_sum 'Zr1 Be1 Ag2'
_cell_length_a 4.688
_cell_length_b 4.688
_cell_length_c 3.219
_cell_angle_alpha 90.00
_cell_angle_beta 90.00
_cell_angle_gamma 90.00
_space_group_name_H-M_alt 'P 4/m m m'
_space_group_IT_number 123
_space_group_name_Hall '-P 4 2'
loop_
_atom_site_label
_atom_site_type_symbol
_atom_site_fract_x
_atom_site_fract_y
_atom_site_fract_z
Zr1 Zr 0.000 0.000 0.000
Be1 Be 0.500 0.500 0.000
Ag1 Ag 0.000 0.500 0.500
# Formation energy from the elements = 34.3 kJ/mol of atoms
# Calculated volume = 17.685 Å³ per atom
# Density of states at the Fermi level = 0.4484 states/eV/atom
# Total DFT energy (no corrections) = -4.138 eV/atom

=====

Record 5
# ZrBeAg2 (PBE-GGA, relaxed)
data_ZrBeAg2
_chemical_formula_sum 'Zr1 Be1 Ag2'
_cell_length_a 4.066
_cell_length_b 4.066
_cell_length_c 4.260
_cell_angle_alpha 90.00
_cell_angle_beta 90.00
_cell_angle_gamma 90.00
_space_group_name_H-M_alt 'P 4/m m m'
_space_group_IT_number 123
_space_group_name_Hall '-P 4 2'
loop_
_atom_site_label
_atom_site_type_symbol
_atom_site_fract_x
_atom_site_fract_y
_atom_site_fract_z
Zr1 Zr 0.000 0.000 0.000
Be1 Be 0.500 0.500 0.000
Ag1 Ag 0.000 0.500 0.500
# Formation energy from the elements = 28.1 kJ/mol of atoms
# Calculated volume = 17.611 Å³ per atom
# Density of states at the Fermi level = 0.9783 states/eV/atom
# Total DFT energy (no corrections) = -4.202 eV/atom

=====

Record 6
# ZrBeAg4 (PBE-GGA, relaxed)
data_ZrBeAg4
_chemical_formula_sum 'Zr4 Be4 Ag16'
_cell_length_a 7.621
_cell_length_b 7.621
_cell_length_c 7.621
_cell_angle_alpha 90.00
_cell_angle_beta 90.00
_cell_angle_gamma 90.00
_space_group_name_H-M_alt 'F -4 3 m'
_space_group_IT_number 216
_space_group_name_Hall 'F -4 2 3'
loop_
_atom_site_label
_atom_site_type_symbol
_atom_site_fract_x
_atom_site_fract_y
_atom_site_fract_z
Zr1 Zr 0.000 0.000 0.000
Be1 Be 0.250 0.250 0.250
Ag1 Ag 0.125 0.125 0.625
# Formation energy from the elements = 33.9 kJ/mol of atoms
# Calculated volume = 18.443 Å³ per atom
# Density of states at the Fermi level = 0.5828 states/eV/atom
# Total DFT energy (no corrections) = -3.595 eV/atom

=====

Record 7
# ZrBe3Ag (PBE-GGA, relaxed)
data_ZrBe3Ag
_chemical_formula_sum 'Zr1 Be3 Ag1'
_cell_length_a 4.225
_cell_length_b 4.225
_cell_length_c 4.225
_cell_angle_alpha 90.00
_cell_angle_beta 90.00
_cell_angle_gamma 90.00
_space_group_name_H-M_alt 'P m -3 m'
_space_group_IT_number 221
_space_group_name_Hall '-P 4 2 3'
loop_
_atom_site_label
_atom_site_type_symbol
_atom_site_fract_x
_atom_site_fract_y
_atom_site_fract_z
Zr1 Zr 0.000 0.000 0.000
Be1 Be 0.000 0.500 0.500
Ag1 Ag 0.500 0.500 0.500
# Formation energy from the elements = 48.9 kJ/mol of atoms
# Calculated volume = 15.082 Å³ per atom
# Density of states at the Fermi level = 0.5357 states/eV/atom
# Offset from the most stable computed form = 0.0 meV per atom
# Total DFT energy (no corrections) = -4.009 eV/atom

=====

Record 8
# ZrBe4Ag (PBE-GGA, relaxed)
data_ZrBe4Ag
_chemical_formula_sum 'Zr4 Be16 Ag4'
_cell_length_a 6.671
_cell_length_b 6.671
_cell_length_c 6.671
_cell_angle_alpha 90.00
_cell_angle_beta 90.00
_cell_angle_gamma 90.00
_space_group_name_H-M_alt 'F -4 3 m'
_space_group_IT_number 216
_space_group_name_Hall 'F -4 2 3'
loop_
_atom_site_label
_atom_site_type_symbol
_atom_site_fract_x
_atom_site_fract_y
_atom_site_fract_z
Zr1 Zr 0.000 0.000 0.000
Be1 Be 0.130 0.130 0.370
Ag1 Ag 0.250 0.250 0.750
# Formation energy from the elements = 8.2 kJ/mol of atoms
# Calculated volume = 12.367 Å³ per atom
# Density of states at the Fermi level = 0.8665 states/eV/atom
# Total DFT energy (no corrections) = -4.299 eV/atom

=====

Record 9
# Zr2BeAg2 (PBE-GGA, relaxed)
data_Zr2BeAg2
_chemical_formula_sum 'Zr4 Be2 Ag4'
_cell_length_a 6.230
_cell_length_b 6.230
_cell_length_c 4.811
_cell_angle_alpha 90.00
_cell_angle_beta 90.00
_cell_angle_gamma 90.00
_space_group_name_H-M_alt 'P 4/m b m'
_space_group_IT_number 127
_space_group_name_Hall '-P 4 2ab'
loop_
_atom_site_label
_atom_site_type_symbol
_atom_site_fract_x
_atom_site_fract_y
_atom_site_fract_z
Zr1 Zr 0.169 0.331 0.000
Be1 Be 0.000 0.000 0.500
Ag1 Ag 0.153 0.653 0.500
# Formation energy from the elements = 14.4 kJ/mol of atoms
# Calculated volume = 18.671 Å³ per atom
# Density of states at the Fermi level = 0.6822 states/eV/atom
# Total DFT energy (no corrections) = -5.156 eV/atom

=====

Record 10
# ZrBeAg2 (PBE-GGA, relaxed)
data_ZrBeAg2
_chemical_formula_sum 'Zr4 Be4 Ag8'
_cell_length_a 3.884
_cell_length_b 3.884
_cell_length_c 19.325
_cell_angle_alpha 90.00
_cell_angle_beta 90.00
_cell_angle_gamma 90.00
_space_group_name_H-M_alt 'I -4 2 d'
_space_group_IT_number 122
_space_group_name_Hall 'I -4 2bw'
loop_
_atom_site_label
_atom_site_type_symbol
_atom_site_fract_x
_atom_site_fract_y
_atom_site_fract_z
Zr1 Zr 0.000 0.000 0.000
Be1 Be 0.000 0.000 0.500
Ag1 Ag 0.232 0.250 0.625
# Formation energy from the elements = 39.2 kJ/mol of atoms
# Calculated volume = 18.217 Å³ per atom
# Density of states at the Fermi level = 1.4097 states/eV/atom
# Total DFT energy (no corrections) = -4.088 eV/atom

=====

Record 11
# ZrBeAg2 (PBE-GGA, relaxed)
data_ZrBeAg2
_chemical_formula_sum 'Zr2 Be2 Ag4'
_cell_length_a 8.906
_cell_length_b 2.855
_cell_length_c 5.606
_cell_angle_alpha 90.00
_cell_angle_beta 102.32
_cell_angle_gamma 90.00
_space_group_name_H-M_alt 'C 1 m 1'
_space_group_IT_number 8
loop_
_space_group_symop_operation_xyz
'x,y,z'
'x,-y,z'
'x+1/2,y+1/2,z'
'x+1/2,-y+1/2,z'
loop_
_atom_site_label
_atom_site_type_symbol
_atom_site_fract_x
_atom_site_fract_y
_atom_site_fract_z
Zr1 Zr 0.000 0.000 0.000
Be1 Be 0.238 0.500 0.313
Ag1 Ag 0.230 0.000 0.706
Ag2 Ag 0.467 0.000 0.453
# Formation energy from the elements = 20.8 kJ/mol of atoms
# Calculated volume = 17.407 Å³ per atom
# Density of states at the Fermi level = 0.5220 states/eV/atom
# Total DFT energy (no corrections) = -4.279 eV/atom

=====

Record 12
# ZrBeAg2 (PBE-GGA, relaxed)
data_ZrBeAg2
_chemical_formula_sum 'Zr2 Be2 Ag4'
_cell_length_a 10.537
_cell_length_b 2.971
_cell_length_c 4.748
_cell_angle_alpha 90.00
_cell_angle_beta 116.40
_cell_angle_gamma 90.00
_space_group_name_H-M_alt 'C 1 2/m 1'
_space_group_IT_number 12
loop_
_space_group_symop_operation_xyz
'x,y,z'
'-x,-y,-z'
'-x,y,-z'
'x,-y,z'
'x+1/2,y+1/2,z'
'-x+1/2,-y+1/2,-z'
'-x+1/2,y+1/2,-z'
'x+1/2,-y+1/2,z'
loop_
_atom_site_label
_atom_site_type_symbol
_atom_site_fract_x
_atom_site_fract_y
_atom_site_fract_z
Zr1 Zr 0.000 0.000 0.000
Be1 Be 0.000 0.500 0.500
Ag1 Ag 0.209 0.000 0.709
# Formation energy from the elements = 7.7 kJ/mol of atoms
# Calculated volume = 16.638 Å³ per atom
# Density of states at the Fermi level = 0.4618 states/eV/atom
# Total DFT energy (no corrections) = -4.415 eV/atom

=====

Record 13
# ZrBeAg2 (PBE-GGA, relaxed)
data_ZrBeAg2
_chemical_formula_sum 'Zr1 Be1 Ag2'
_cell_length_a 3.031
_cell_length_b 4.700
_cell_length_c 4.899
_cell_angle_alpha 90.00
_cell_angle_beta 90.00
_cell_angle_gamma 90.00
_space_group_name_H-M_alt 'P m m m'
_space_group_IT_number 47
loop_
_space_group_symop_operation_xyz
'x,y,z'
'-x,-y,-z'
'-x,-y,z'
'x,y,-z'
'x,-y,-z'
'-x,y,z'
'-x,y,-z'
'x,-y,z'
loop_
_atom_site_label
_atom_site_type_symbol
_atom_site_fract_x
_atom_site_fract_y
_atom_site_fract_z
Zr1 Zr 0.000 0.000 0.000
Be1 Be 0.500 0.500 0.000
Ag1 Ag 0.000 0.500 0.500
Ag2 Ag 0.500 0.000 0.500
# Formation energy from the elements = 24.9 kJ/mol of atoms
# Calculated volume = 17.446 Å³ per atom
# Density of states at the Fermi level = 0.5597 states/eV/atom
# Total DFT energy (no corrections) = -4.236 eV/atom

=====

Record 14
# ZrBeAg2 (PBE-GGA, relaxed)
data_ZrBeAg2
_chemical_formula_sum 'Zr4 Be4 Ag8'
_cell_length_a 6.451
_cell_length_b 6.458
_cell_length_c 6.465
_cell_angle_alpha 90.00
_cell_angle_beta 90.00
_cell_angle_gamma 90.00
_space_group_name_H-M_alt 'F 2 2 2'
_space_group_IT_number 22
_space_group_name_Hall 'F 2 2'
loop_
_atom_site_label
_atom_site_type_symbol
_atom_site_fract_x
_atom_site_fract_y
_atom_site_fract_z
Zr1 Zr 0.000 0.000 0.000
Be1 Be 0.250 0.250 0.750
Ag1 Ag 0.000 0.000 0.500
Ag2 Ag 0.250 0.250 0.250
# Formation energy from the elements = 10.8 kJ/mol of atoms
# Calculated volume = 16.830 Å³ per atom
# Density of states at the Fermi level = 0.3658 states/eV/atom
# Total DFT energy (no corrections) = -4.383 eV/atom

=====

Record 15
# ZrBeAg2 (PBE-GGA, relaxed)
data_ZrBeAg2
_chemical_formula_sum 'Zr1 Be1 Ag2'
_cell_length_a 2.966
_cell_length_b 3.052
_cell_length_c 7.396
_cell_angle_alpha 90.00
_cell_angle_beta 90.06
_cell_angle_gamma 90.00
_space_group_name_H-M_alt 'P 1 m 1'
_space_group_IT_number 6
loop_
_space_group_symop_operation_xyz
'x,y,z'
'x,-y,z'
loop_
_atom_site_label
_atom_site_type_symbol
_atom_site_fract_x
_atom_site_fract_y
_atom_site_fract_z
Zr1 Zr 0.000 0.000 0.000
Be1 Be 0.500 0.500 0.762
Ag1 Ag 0.000 0.000 0.580
Ag2 Ag 0.500 0.500 0.301
# Formation energy from the elements = 2.7 kJ/mol of atoms
# Calculated volume = 16.736 Å³ per atom
# Density of states at the Fermi level = 0.7279 states/eV/atom
# Total DFT energy (no corrections) = -4.466 eV/atom

=====

Record 16
# ZrBeAg2 (PBE-GGA, relaxed)
data_ZrBeAg2
_chemical_formula_sum 'Zr1 Be1 Ag2'
_cell_length_a 2.900
_cell_length_b 3.067
_cell_length_c 7.367
_cell_angle_alpha 90.00
_cell_angle_beta 90.00
_cell_angle_gamma 90.00
_space_group_name_H-M_alt 'P m m m'
_space_group_IT_number 47
loop_
_space_group_symop_operation_xyz
'x,y,z'
'-x,-y,-z'
'-x,-y,z'
'x,y,-z'
'x,-y,-z'
'-x,y,z'
'-x,y,-z'
'x,-y,z'
loop_
_atom_site_label
_atom_site_type_symbol
_atom_site_fract_x
_atom_site_fract_y
_atom_site_fract_z
Zr1 Zr 0.000 0.000 0.000
Be1 Be 0.000 0.000 0.500
Ag1 Ag 0.500 0.500 0.304
# Formation energy from the elements = 7.2 kJ/mol of atoms
# Calculated volume = 16.384 Å³ per atom
# Density of states at the Fermi level = 0.7320 states/eV/atom
# Total DFT energy (no corrections) = -4.420 eV/atom

=====

Record 17
# ZrBeAg2 (PBE-GGA, relaxed)
data_ZrBeAg2
_chemical_formula_sum 'Zr3 Be3 Ag6'
_cell_length_a 2.9773
_cell_length_b 2.9773
_cell_length_c 26.4585
_cell_angle_alpha 90.00
_cell_angle_beta 90.00
_cell_angle_gamma 120.00
_space_group_name_H-M_alt 'R -3 m'
_space_group_IT_number 166
_space_group_name_Hall '-R 3 2"'
loop_
_atom_site_label
_atom_site_type_symbol
_atom_site_fract_x
_atom_site_fract_y
_atom_site_fract_z
Zr1 Zr 0.0000 0.0000 0.0000
Be1 Be 0.0000 0.0000 0.5000
Ag1 Ag 0.0000 0.0000 0.2352
# Formation energy from the elements = 22.1 kJ/mol of atoms
# Calculated volume = 16.926 Å³ per atom
# Density of states at the Fermi level = 0.7665 states/eV/atom
# Total DFT energy (no corrections) = -4.265 eV/atom

=====

Record 18
# ZrBeAg2 (PBE-GGA, relaxed)
data_ZrBeAg2
_chemical_formula_sum 'Zr2 Be2 Ag4'
_cell_length_a 3.826
_cell_length_b 4.721
_cell_length_c 7.567
_cell_angle_alpha 90.00
_cell_angle_beta 90.00
_cell_angle_gamma 90.00
_space_group_name_H-M_alt 'I m m 2'
_space_group_IT_number 44
loop_
_space_group_symop_operation_xyz
'x,y,z'
'-x,-y,z'
'-x,y,z'
'x,-y,z'
'x+1/2,y+1/2,z+1/2'
'-x+1/2,-y+1/2,z+1/2'
'-x+1/2,y+1/2,z+1/2'
'x+1/2,-y+1/2,z+1/2'
loop_
_atom_site_label
_atom_site_type_symbol
_atom_site_fract_x
_atom_site_fract_y
_atom_site_fract_z
Zr1 Zr 0.000 0.000 0.000
Be1 Be 0.000 0.500 0.246
Ag1 Ag 0.000 0.000 0.562
Ag2 Ag 0.000 0.500 0.782
# Formation energy from the elements = 12.5 kJ/mol of atoms
# Calculated volume = 17.089 Å³ per atom
# Density of states at the Fermi level = 0.3899 states/eV/atom
# Total DFT energy (no corrections) = -4.365 eV/atom

=====

Record 19
# AgBi (PBE-GGA, relaxed)
data_AgBi
_chemical_formula_sum 'Ag4 Bi4'
_cell_length_a 5.910
_cell_length_b 5.910
_cell_length_c 6.007
_cell_angle_alpha 90.00
_cell_angle_beta 90.00
_cell_angle_gamma 90.00
_space_group_name_H-M_alt 'P 42/m n m'
_space_group_IT_number 136
_space_group_name_Hall '-P 4n 2n'
loop_
_atom_site_label
_atom_site_type_symbol
_atom_site_fract_x
_atom_site_fract_y
_atom_site_fract_z
Ag1 Ag 0.208 0.208 0.000
Bi1 Bi 0.211 0.211 0.500
# Formation energy from the elements = 18.9 kJ/mol of atoms
# Calculated volume = 26.224 Å³ per atom
# Density of states at the Fermi level = 0.4735 states/eV/atom
# Total DFT energy (no corrections) = -3.170 eV/atom

=====

Record 20
# AgBi (PBE-GGA, relaxed)
data_AgBi
_chemical_formula_sum 'Ag4 Bi4'
_cell_length_a 5.962
_cell_length_b 5.962
_cell_length_c 5.962
_cell_angle_alpha 90.00
_cell_angle_beta 90.00
_cell_angle_gamma 90.00
_space_group_name_H-M_alt 'F m -3 m'
_space_group_IT_number 225
_space_group_name_Hall '-F 4 2 3'
loop_
_atom_site_label
_atom_site_type_symbol
_atom_site_fract_x
_atom_site_fract_y
_atom_site_fract_z
Ag1 Ag 0.000 0.000 0.000
Bi1 Bi 0.000 0.000 0.500
# Formation energy from the elements = 18.2 kJ/mol of atoms
# Calculated volume = 26.486 Å³ per atom
# Density of states at the Fermi level = 0.5349 states/eV/atom
# Total DFT energy (no corrections) = -3.177 eV/atom